(1)
Crystalline Be2W at its relaxed geometry, computed with GGA-PBE.

Results
E above lowest polymorph = 197.2 meV/atom
total magnetization = 0.000 μB per atom
ΔH_f (0 K) = -116 meV per atom

abc: 3.2732 3.2732 11.4637
angles: 90.00 90.00 90.00
Space group I4_1/amd (No. 141, origin choice 2)
Unique sites:
Be: 0.0000 0.2500 0.2920 [8 per cell]
W: 0.0000 0.2500 0.8750 [4 per cell]



(2)
Crystalline Be2W at its relaxed geometry, computed with GGA-PBE.

Results
E above lowest polymorph = 422.2 meV/atom
total magnetization = 0.000 μB per atom
ΔH_f (0 K) = 109 meV per atom

abc: 2.6987 2.6987 8.9908
angles: 90.00 90.00 90.00
Space group I4/mmm (No. 139)
Unique sites:
Be: 0.0000 0.0000 0.1904 [4 per cell]
W: 0.0000 0.0000 0.5000 [2 per cell]



Question: Which value of total magnetization does entry 1 give?
Answer: 0.000 μB per atom